No. 1
A plane-wave DFT calculation with PBE was carried out for a geometry-optimized Er12ScAl3 structure.

Cell lengths 4.738, 4.738, 19.178 Å; angles 90.00, 90.00, 90.00 degrees
Atoms (fractional coordinates):
Er (0.000, 0.500, 0.870)
Er (0.000, 0.500, 0.130)
Er (0.000, 0.500, 0.623)
Er (0.500, 0.000, 0.870)
Er (0.000, 0.500, 0.377)
Er (0.500, 0.500, 0.500)
Er (0.500, 0.000, 0.377)
Er (0.500, 0.500, 0.000)
Er (0.500, 0.000, 0.130)
Er (0.500, 0.500, 0.255)
Er (0.500, 0.500, 0.745)
Er (0.500, 0.000, 0.623)
Al (0.000, 0.000, 0.744)
Al (0.000, 0.000, 0.256)
Al (0.000, 0.000, 0.500)
Sc (0.000, 0.000, 0.000)

Summary:
Total energy (eV per cell): -74.437
ΔH_f (0 K) (eV per atom): -0.133
Spin magnetization (Bohr magnetons per cell): 0.00


No. 2
A plane-wave DFT calculation with PBE was carried out for a geometry-optimized CaLa2SnRh structure.

Cell lengths 5.452, 5.452, 5.459 Å; angles 90.00, 90.00, 90.00 degrees
Atoms (fractional coordinates):
Rh (0.000, 0.000, 0.000)
Ca (0.000, 0.000, 0.500)
La (0.500, 0.000, 0.000)
La (0.000, 0.500, 0.000)
Sn (0.500, 0.500, 0.500)

Summary:
Total energy (eV per cell): -25.962
ΔH_f (0 K) (eV per atom): -0.550
Spin magnetization (Bohr magnetons per cell): 0.00


No. 3
A plane-wave DFT calculation with PBE was carried out for a geometry-optimized NdInPtRh structure.

Cell lengths 4.853, 4.853, 4.853 Å; angles 60.00, 60.00, 60.00 degrees
Atoms (fractional coordinates):
Rh (0.250, 0.250, 0.250)
Nd (0.000, 0.000, 0.000)
In (0.500, 0.500, 0.500)
Pt (0.750, 0.750, 0.750)

Summary:
Total energy (eV per cell): -23.589
ΔH_f (0 K) (eV per atom): -0.673
Spin magnetization (Bohr magnetons per cell): 0.00


No. 4
A plane-wave DFT calculation with PBE was carried out for a geometry-optimized Ce3PaTl3Se8 structure.

Cell lengths 8.602, 8.602, 9.239 Å; angles 117.76, 90.00, 120.00 degrees
Each line ends with the local moment (μB).
Atoms (fractional coordinates):
Tl (0.500, 0.500, 0.000)  0.00
Tl (0.000, 0.000, 0.000)  0.00
Tl (0.000, 0.500, 0.000)  0.00
Se (0.228, 0.975, 0.703)  -0.03
Se (0.228, 0.455, 0.703)  -0.03
Se (0.748, 0.975, 0.703)  -0.03
Se (0.264, 0.528, 0.292)  -0.02
Se (0.252, 0.025, 0.297)  -0.03
Se (0.736, 0.472, 0.708)  -0.02
Se (0.772, 0.545, 0.297)  -0.03
Se (0.772, 0.025, 0.297)  -0.03
Ce (0.000, 0.500, 0.500)  0.97
Ce (0.500, 0.000, 0.500)  0.97
Ce (0.500, 0.500, 0.500)  0.97
Pa (0.000, 0.000, 0.500)  0.84

Summary:
Total energy (eV per cell): -82.211
Spin magnetization (Bohr magnetons per cell): 4.02
Formation energy from raw total energies (eV/f.u.): -19.94


No. 5
A plane-wave DFT calculation with PBE was carried out for a geometry-optimized SmMgSc2 structure.

Cell lengths 4.849, 4.849, 9.610 Å; angles 104.59, 104.59, 90.02 degrees
Atoms (fractional coordinates):
Sc (0.127, 0.127, 0.754)
Sc (0.873, 0.873, 0.246)
Sc (0.000, 0.500, 0.500)
Sc (0.500, 0.000, 0.500)
Sm (0.377, 0.377, 0.254)
Sm (0.623, 0.623, 0.746)
Mg (0.750, 0.250, 0.000)
Mg (0.250, 0.750, 0.000)

Summary:
Total energy (eV per cell): -37.960
ΔH_f (0 K) (eV per atom): -0.001
E above lowest polymorph (meV/atom): 0
Spin magnetization (Bohr magnetons per cell): 0.00


No. 6
A plane-wave DFT calculation with PBE was carried out for a geometry-optimized Ba3LiCd3 structure.

Cell lengths 5.297, 6.690, 16.362 Å; angles 85.91, 80.68, 66.68 degrees
Atoms (fractional coordinates):
Cd (0.946, 0.867, 0.241)
Cd (0.102, 0.877, 0.920)
Cd (0.898, 0.123, 0.080)
Cd (0.054, 0.133, 0.759)
Cd (0.137, 0.269, 0.457)
Cd (0.863, 0.731, 0.543)
Ba (0.395, 0.288, 0.921)
Ba (0.533, 0.321, 0.614)
Ba (0.605, 0.712, 0.079)
Ba (0.467, 0.679, 0.386)
Ba (0.247, 0.273, 0.234)
Ba (0.753, 0.727, 0.766)
Li (0.241, 0.928, 0.590)
Li (0.759, 0.072, 0.410)

Summary:
Total energy (eV per cell): -24.352
ΔH_f (0 K) (eV per atom): -0.250
Spin magnetization (Bohr magnetons per cell): 0.00


No. 7
A plane-wave DFT calculation with PBE was carried out for a geometry-optimized Na2MgH2F2 structure.

Cell lengths 3.747, 3.747, 6.646 Å; angles 106.37, 106.37, 90.00 degrees
Atoms (fractional coordinates):
F (0.834, 0.834, 0.668)
F (0.166, 0.166, 0.332)
H (0.000, 0.500, 0.000)
H (0.500, 0.000, 0.000)
Na (0.650, 0.650, 0.301)
Na (0.350, 0.350, 0.699)
Mg (0.000, 0.000, 0.000)

Summary:
Total energy (eV per cell): -26.030
Spin magnetization (Bohr magnetons per cell): 0.00


No. 8
A plane-wave DFT calculation with PBE was carried out for a geometry-optimized Y2ZnPd2 structure.

Cell lengths 5.677, 5.677, 7.860 Å; angles 76.24, 76.24, 59.04 degrees
Atoms (fractional coordinates):
Y (0.505, 0.793, 0.851)
Y (0.793, 0.505, 0.351)
Y (0.495, 0.207, 0.149)
Y (0.207, 0.495, 0.649)
Pd (0.262, 0.001, 0.500)
Pd (0.001, 0.262, 0.000)
Pd (0.999, 0.738, 0.000)
Pd (0.738, 0.999, 0.500)
Zn (0.823, 0.177, 0.750)
Zn (0.177, 0.823, 0.250)

Summary:
Total energy (eV per cell): -56.916
ΔH_f (0 K) (eV per atom): -0.774
Spin magnetization (Bohr magnetons per cell): 0.00